Record 1
VASP calculation (PBE) on a relaxed CaB2Ru crystal.

a = 4.501 Å, b = 4.501 Å, c = 13.191 Å
α = 90.00°, β = 90.00°, γ = 90.00°
Fractional positions:
1 Ca 0.000 0.250 0.375
2 Ca 0.000 0.750 0.625
3 Ca 0.500 0.250 0.125
4 Ca 0.500 0.750 0.875
5 B 0.000 0.000 0.000
6 B 0.000 0.500 0.000
7 B 0.250 0.250 0.750
8 B 0.250 0.750 0.250
9 B 0.500 0.000 0.500
10 B 0.500 0.500 0.500
11 B 0.750 0.250 0.750
12 B 0.750 0.750 0.250
13 Ru 0.000 0.250 0.875
14 Ru 0.000 0.750 0.125
15 Ru 0.500 0.250 0.625
16 Ru 0.500 0.750 0.375

DFT total energy	-6.16	eV/atom
crystal system	tetragonal
ΔE to the lowest computed polymorph	0.033	eV/atom
DFT formation energy	0.2	kJ per mole of atoms

---

Record 2
VASP calculation (PBE) on a relaxed CaB3Ru crystal.

a = 4.084 Å, b = 4.084 Å, c = 4.084 Å
α = 90.00°, β = 90.00°, γ = 90.00°
Fractional positions:
1 Ca 0.000 0.000 0.000
2 B 0.000 0.500 0.500
3 B 0.500 0.000 0.500
4 B 0.500 0.500 0.000
5 Ru 0.500 0.500 0.500

DFT total energy	-5.96	eV/atom
crystal system	cubic
ΔE to the lowest computed polymorph	0.000	eV/atom
DFT formation energy	28.8	kJ per mole of atoms

---

Record 3
VASP calculation (PBE) on a relaxed Ca2BRu crystal.

a = 10.214 Å, b = 10.214 Å, c = 3.951 Å
α = 90.00°, β = 90.00°, γ = 90.00°
Fractional positions:
1 Ca 0.063 0.250 0.125
2 Ca 0.250 0.563 0.375
3 Ca 0.250 0.937 0.875
4 Ca 0.437 0.250 0.625
5 Ca 0.563 0.750 0.625
6 Ca 0.750 0.063 0.875
7 Ca 0.750 0.437 0.375
8 Ca 0.937 0.750 0.125
9 B 0.000 0.000 0.000
10 B 0.000 0.500 0.250
11 B 0.500 0.000 0.750
12 B 0.500 0.500 0.500
13 Ru 0.000 0.000 0.500
14 Ru 0.000 0.500 0.750
15 Ru 0.500 0.000 0.250
16 Ru 0.500 0.500 0.000

DFT total energy	-4.87	eV/atom
crystal system	tetragonal
DFT formation energy	11.3	kJ per mole of atoms

---

| no. | N(E_F) (states/eV/f.u.) |
| --- | --- |
| 1 | 0.30 |
| 2 | 2.07 |
| 3 | 2.38 |